[1]
! NaHgAu3 | the Alexandria database | PBE | relaxed; values from VASP
&SYSTEM
  ibrav = 0, nat = 5, ntyp = 3
/
ATOMIC_SPECIES
Na 22.99 Na.upf
Hg 200.59 Hg.upf
Au 196.97 Au.upf
CELL_PARAMETERS angstrom
5.048 0.000 0.000
0.000 5.048 0.000
0.000 0.000 5.048
ATOMIC_POSITIONS angstrom
Na 0.000 0.000 0.000
Hg 2.524 2.524 2.524
Au 0.000 0.000 2.524
Au 0.000 2.524 0.000
Au 2.524 0.000 0.000
! - ΔE_f (eV/atom) = 0.730
! - excess energy over the best structure of this formula in the dataset (meV per atom) = 483
! - D(E_F) (states/eV/atom) = 0.5590
! - space-group type = Pm-3m (221)

[2]
! LiTmHfFe | the Alexandria database | PBE | relaxed; values from VASP
&SYSTEM
  ibrav = 0, nat = 4, ntyp = 4
/
ATOMIC_SPECIES
Li 6.94 Li.upf
Tm 168.93 Tm.upf
Hf 178.49 Hf.upf
Fe 55.84 Fe.upf
CELL_PARAMETERS angstrom
0.000 3.272 3.272
3.272 0.000 3.272
3.272 3.272 0.000
ATOMIC_POSITIONS angstrom
Li 0.000 0.000 0.000
Tm 4.909 4.909 4.909
Hf 1.636 1.636 1.636
Fe 3.272 3.272 3.272
! - ΔE_f (eV/atom) = 0.015
! - D(E_F) (states/eV/atom) = 0.8759
! - space-group type = F-43m (216)

[3]
! La3DyHo2 | the Alexandria database | PBE | relaxed; values from VASP
&SYSTEM
  ibrav = 0, nat = 6, ntyp = 3
/
ATOMIC_SPECIES
La 138.91 La.upf
Dy 162.50 Dy.upf
Ho 164.93 Ho.upf
CELL_PARAMETERS angstrom
-1.742 3.006 9.870
1.742 -3.006 9.870
1.742 3.006 -9.870
ATOMIC_POSITIONS angstrom
La 0.000 0.000 0.000
La 1.742 0.000 6.170
La 0.000 3.006 3.700
Dy 0.000 3.006 0.000
Ho 1.742 0.000 2.707
Ho 0.000 3.006 7.163
! - ΔE_f (eV/atom) = 0.324
! - excess energy over the best structure of this formula in the dataset (meV per atom) = 190
! - D(E_F) (states/eV/atom) = 1.6933
! - space-group type = Immm (71)

[4]
! TlBrO2 | the Alexandria database | PBE | relaxed; values from VASP
&SYSTEM
  ibrav = 0, nat = 8, ntyp = 3
/
ATOMIC_SPECIES
Tl 204.38 Tl.upf
Br 79.90 Br.upf
O 16.00 O.upf
CELL_PARAMETERS angstrom
-3.003 3.003 4.652
3.003 -3.003 4.652
3.003 3.003 -4.652
ATOMIC_POSITIONS angstrom
Tl 0.000 0.000 0.000
Tl 0.000 3.003 2.326
Br 3.003 0.000 2.326
Br 0.000 0.000 4.652
O 4.504 1.093 -1.163
O 1.093 1.501 1.163
O -1.501 1.909 3.489
O 1.909 1.501 5.815
! - excess energy over the best structure of this formula in the dataset (meV per atom) = 513
! - D(E_F) (states/eV/atom) = 0.0963
! - space-group type = I-42d (122)
! - ΔE_f (raw) (meV per atom) = 168.1

[5]
! MnZnW2 | the Alexandria database | PBE | relaxed; values from VASP
&SYSTEM
  ibrav = 0, nat = 8, ntyp = 3
/
ATOMIC_SPECIES
Mn 54.94 Mn.upf
Zn 65.41 Zn.upf
W 183.84 W.upf
CELL_PARAMETERS angstrom
-3.502 3.502 2.578
3.502 -3.502 2.578
3.502 3.502 -2.578
ATOMIC_POSITIONS angstrom
Mn 0.000 0.000 0.000
Mn 0.000 3.502 1.289
Zn 3.502 0.000 1.289
Zn 0.000 0.000 2.578
W 5.253 1.418 -0.645
W 1.418 1.751 0.645
W -1.751 2.084 1.934
W 2.084 1.751 3.223
! - ΔE_f (eV/atom) = 0.787
! - D(E_F) (states/eV/atom) = 0.9308
! - space-group type = I-42d (122)

[6]
! ZnCoOsW | the Alexandria database | PBE | relaxed; values from VASP
&SYSTEM
  ibrav = 0, nat = 4, ntyp = 4
/
ATOMIC_SPECIES
Zn 65.41 Zn.upf
Co 58.93 Co.upf
Os 190.23 Os.upf
W 183.84 W.upf
CELL_PARAMETERS angstrom
0.000 3.026 3.026
3.026 0.000 3.026
3.026 3.026 0.000
ATOMIC_POSITIONS angstrom
Zn 0.000 0.000 0.000
Co 1.513 1.513 1.513
Os 4.539 4.539 4.539
W 3.026 3.026 3.026
! - ΔE_f (eV/atom) = 0.075
! - D(E_F) (states/eV/atom) = 0.3813
! - space-group type = F-43m (216)

[7]
! Ba3IrRh | the Alexandria database | PBE | relaxed; values from VASP
&SYSTEM
  ibrav = 0, nat = 5, ntyp = 3
/
ATOMIC_SPECIES
Ba 137.33 Ba.upf
Ir 192.22 Ir.upf
Rh 102.91 Rh.upf
CELL_PARAMETERS angstrom
5.895 0.000 0.000
0.000 5.895 0.000
0.000 0.000 5.895
ATOMIC_POSITIONS angstrom
Ba 0.000 0.000 2.948
Ba 0.000 2.948 0.000
Ba 2.948 0.000 0.000
Ir 0.000 0.000 0.000
Rh 2.948 2.948 2.948
! - ΔE_f (eV/atom) = 0.333
! - excess energy over the best structure of this formula in the dataset (meV per atom) = 0
! - D(E_F) (states/eV/atom) = 0.1387
! - space-group type = Pm-3m (221)